Density functional theory data (PBEsol) for a geometry-optimized Fe2RePCl structure.

Properties
VASP energy: -6.243 eV per atom
symmetry: P4/mmm, No. 123
calculated volume: 18.7 A^3/atom
uncorrected formation energy: 1.569 eV per atom
total magnetic moment: 4.7 μB/f.u.

```
Fe2RePCl
1.0
4.3032 0.0000 0.0000
0.0000 4.6592 0.0000
0.0000 0.0000 4.6592
Re Fe P Cl
1 2 1 1
direct
0.0000 0.0000 0.0000
0.0000 0.0000 0.5000
0.0000 0.5000 0.0000
0.5000 0.5000 0.5000
0.5000 0.0000 0.0000
```